# 1
# BaCoRu2

An optimized crystal structure of BaCoRu2 (PBE-GGA, Alexandria).

Cell: 3.943 3.943 4.896 Å, 90.00 90.00 90.00°
Fractional coordinates of all 4 atoms:
1 Ba 0.000 0.000 0.000
2 Co 0.500 0.500 0.000
3 Ru 0.000 0.500 0.500
4 Ru 0.500 0.000 0.500

- distance to the lowest polymorph of the same formula (meV/atom) = 913
- space group = P4/mmm, No. 123

***

# 2
# ZnSiAg

An optimized crystal structure of ZnSiAg (PBE-GGA, Alexandria).

Cell: 2.961 2.961 6.340 Å, 90.00 90.00 120.00°
Fractional coordinates of all 3 atoms:
1 Zn 0.000 0.000 0.000
2 Si 0.667 0.333 0.683
3 Ag 0.333 0.667 0.344

- distance to the lowest polymorph of the same formula (meV/atom) = 19
- space group = P3m1, No. 156
- ΔE_f (raw) (eV/f.u.) = 0.59

***

# 3
# MgCd2Sb2

An optimized crystal structure of MgCd2Sb2 (PBE-GGA, Alexandria).

Cell: 7.613 7.613 7.613 Å, 145.23 145.23 49.99°
Fractional coordinates of all 5 atoms:
1 Mg 0.000 0.000 0.000
2 Cd 0.401 0.401 0.000
3 Cd 0.599 0.599 0.000
4 Sb 0.250 0.750 0.500
5 Sb 0.750 0.250 0.500

- distance to the lowest polymorph of the same formula (meV/atom) = 118
- space group = I4/mmm, No. 139
- ΔE_f (raw) (eV/f.u.) = 0.79

***

# 4
# Ba6Cd2Rh

An optimized crystal structure of Ba6Cd2Rh (PBE-GGA, Alexandria).

Cell: 8.005 9.184 14.055 Å, 90.00 123.98 90.00°
Fractional coordinates of all 18 atoms:
1 Ba 0.124 0.165 0.445
2 Ba 0.124 0.335 0.945
3 Ba 0.287 0.700 0.444
4 Ba 0.287 0.800 0.944
5 Ba 0.368 0.024 0.251
6 Ba 0.368 0.476 0.751
7 Ba 0.632 0.524 0.249
8 Ba 0.632 0.976 0.749
9 Ba 0.713 0.200 0.056
10 Ba 0.713 0.300 0.556
11 Ba 0.876 0.665 0.055
12 Ba 0.876 0.835 0.555
13 Cd 0.206 0.112 0.754
14 Cd 0.206 0.388 0.254
15 Cd 0.794 0.612 0.746
16 Cd 0.794 0.888 0.246
17 Rh 0.500 0.000 0.500
18 Rh 0.500 0.500 0.000

- space group = P2_1/c, No. 14
- energy (eV for the cell shown) = -45.39

***

# 5
# Li2AlPbF8

An optimized crystal structure of Li2AlPbF8 (PBE-GGA, Alexandria).

Cell: 4.690 6.651 4.693 Å, 90.00 90.15 90.00°
Fractional coordinates of all 12 atoms:
1 Li 0.000 0.210 0.000
2 Li 0.000 0.790 0.000
3 Al 0.500 0.000 0.500
4 Pb 0.500 0.500 0.500
5 F 0.172 0.500 0.829
6 F 0.228 0.000 0.773
7 F 0.306 0.203 0.307
8 F 0.306 0.797 0.307
9 F 0.694 0.203 0.693
10 F 0.694 0.797 0.693
11 F 0.772 0.000 0.227
12 F 0.828 0.500 0.171

- space group = P2/m, No. 10
- ΔE_f (raw) (eV/f.u.) = -33.74

***

# 6
# PrErZn4

An optimized crystal structure of PrErZn4 (PBE-GGA, Alexandria).

Cell: 3.787 3.787 9.919 Å, 90.36 90.36 89.87°
Fractional coordinates of all 6 atoms:
1 Pr 0.000 0.000 0.000
2 Er 0.500 0.500 0.500
3 Zn 0.001 0.499 0.741
4 Zn 0.499 0.001 0.741
5 Zn 0.501 0.999 0.259
6 Zn 0.999 0.501 0.259

- distance to the lowest polymorph of the same formula (meV/atom) = 359
- space group = C2/m, No. 12

***

# 7
# Ho8Cd2Sb

An optimized crystal structure of Ho8Cd2Sb (PBE-GGA, Alexandria).

Cell: 9.497 9.497 7.015 Å, 101.96 101.96 31.34°
Fractional coordinates of all 11 atoms:
1 Ho 0.024 0.024 0.252
2 Ho 0.204 0.204 0.810
3 Ho 0.338 0.338 0.537
4 Ho 0.407 0.407 0.043
5 Ho 0.593 0.593 0.957
6 Ho 0.662 0.662 0.463
7 Ho 0.796 0.796 0.190
8 Ho 0.976 0.976 0.748
9 Cd 0.190 0.190 0.231
10 Cd 0.810 0.810 0.769
11 Sb 0.500 0.500 0.500

- space group = C2/m, No. 12
- ΔE_f (raw) (eV/f.u.) = -2.53

***

# 8
# TbCuRh

An optimized crystal structure of TbCuRh (PBE-GGA, Alexandria).

Cell: 9.727 7.676 6.997 Å, 82.90 51.55 45.55°
Fractional coordinates of all 12 atoms:
1 Tb 0.017 0.735 0.265
2 Tb 0.265 0.983 0.017
3 Tb 0.735 0.017 0.983
4 Tb 0.983 0.265 0.735
5 Cu 0.331 0.669 0.331
6 Cu 0.414 0.414 0.586
7 Cu 0.586 0.586 0.414
8 Cu 0.669 0.331 0.669
9 Rh 0.153 0.477 0.523
10 Rh 0.477 0.153 0.847
11 Rh 0.523 0.847 0.153
12 Rh 0.847 0.523 0.477

- distance to the lowest polymorph of the same formula (meV/atom) = 308
- space group = Fmmm, No. 69

***

# 9
# CrTePt2

An optimized crystal structure of CrTePt2 (PBE-GGA, Alexandria).

Cell: 3.029 3.029 7.322 Å, 90.00 90.00 90.00°
Fractional coordinates of all 4 atoms:
1 Cr 0.000 0.000 0.000
2 Te 0.500 0.500 0.757
3 Pt 0.000 0.000 0.456
4 Pt 0.500 0.500 0.200

- space group = P4mm, No. 99
- ΔE_f (raw) (eV/f.u.) = 0.95

***

# 10
# AcLa5Ho2

An optimized crystal structure of AcLa5Ho2 (PBE-GGA, Alexandria).

Cell: 7.428 14.854 5.245 Å, 90.00 90.00 90.00°
Fractional coordinates of all 16 atoms:
1 Ac 0.000 0.000 0.000
2 Ac 0.500 0.500 0.000
3 La 0.000 0.252 0.000
4 La 0.000 0.500 0.000
5 La 0.000 0.748 0.000
6 La 0.247 0.373 0.500
7 La 0.253 0.873 0.500
8 La 0.500 0.000 0.000
9 La 0.500 0.248 0.000
10 La 0.500 0.752 0.000
11 La 0.747 0.127 0.500
12 La 0.753 0.627 0.500
13 Ho 0.249 0.626 0.500
14 Ho 0.251 0.126 0.500
15 Ho 0.749 0.874 0.500
16 Ho 0.751 0.374 0.500

- distance to the lowest polymorph of the same formula (meV/atom) = 0
- space group = Pbam, No. 55

***

| no. | mass density (Mg/m³) |
| --- | --- |
| 1 | 8.7 |
| 2 | 6.9 |
| 3 | 5.7 |
| 4 | 4.5 |
| 5 | 4.5 |
| 6 | 6.7 |
| 7 | 8.6 |
| 8 | 8.9 |
| 9 | 14.1 |
| 10 | 7.2 |